(1)
First-principles (GGA-PBE) data for LiSmY2Au4 after structural relaxation, as listed in Alexandria via LeMat-Bulk.

Summary:
* E_form: -0.76 eV/atom
* total magnetic moment: 0.000 μB/cell

Cell: 5.0218 5.0218 24.7201 Å, 90.00 90.00 120.00°
Space group R-3m (No. 166, hexagonal axes)
Inequivalent atoms, fractional coordinates:
Li 0.0000 0.0000 0.0000 [3 per cell]
Sm 0.0000 0.0000 0.5000 [3 per cell]
Y 0.0000 0.0000 0.2578 [6 per cell]
Au 0.0000 0.0000 0.1199 [6 per cell]
Au 0.0000 0.0000 0.3784 [6 per cell]


(2)
First-principles (GGA-PBE) data for Sr3LiPd after structural relaxation, as listed in Alexandria via LeMat-Bulk.

Summary:
* E_form: -0.27 eV/atom
* total magnetic moment: 0.000 μB/cell
* E above lowest polymorph: 5 meV/atom

Cell: 19.1693 4.2731 8.8856 Å, 90.00 90.81 90.00°
Space group C2/m (No. 12)
Inequivalent atoms, fractional coordinates:
Sr 0.0045 0.0000 0.2606 [4 per cell]
Sr 0.1472 0.5000 0.9561 [4 per cell]
Sr 0.2128 0.0000 0.3405 [4 per cell]
Li 0.1069 0.5000 0.5524 [4 per cell]
Pd 0.1621 0.0000 0.6890 [4 per cell]


(3)
First-principles (GGA-PBE) data for Ce3PmNd3Te8 after structural relaxation, as listed in Alexandria via LeMat-Bulk.

Summary:
* total magnetic moment: 11.193 μB/cell
* E_tot: -5.5663 eV/atom

Cell: 8.9592 8.9592 21.9812 Å, 90.00 90.00 120.00°
Space group R-3m (No. 166, hexagonal axes)
Inequivalent atoms, fractional coordinates:
Ce 0.0000 0.5000 0.0000 [9 per cell]
Pm 0.0000 0.0000 0.0000 [3 per cell]
Nd 0.0000 0.5000 0.5000 [9 per cell]
Te 0.0000 0.0000 0.2501 [6 per cell]
Te 0.0052 0.5026 0.2488 [18 per cell]